! YScInSe2 | Alexandria via LeMat-Bulk | PBE-GGA | optimized geometry; values from VASP
&SYSTEM
  ibrav = 0, nat = 5, ntyp = 4
/
ATOMIC_SPECIES
Y 88.91 Y.upf
Sc 44.96 Sc.upf
Se 78.96 Se.upf
In 114.82 In.upf
CELL_PARAMETERS angstrom
-3.568 -3.074 2.561
0.640 -4.074 -3.999
3.956 -2.198 2.873
ATOMIC_POSITIONS crystal
Y 0.000 0.000 0.000
Sc 0.500 0.500 0.500
Se 0.000 0.000 0.500
Se 0.500 0.000 0.000
In 0.000 0.500 0.000
! **DOS(E_F)**: 0.76 states/eV per atom
! **V**: 165.1 Å³/f.u.
! **Magnetization**: 0.92 μB per formula unit
! **Raw formation energy**: -202.0 meV/atom